The following is a DFT calculation (PBE) of crystalline Pr2UAsN5 at its relaxed geometry.

Results
Raw formation energy   -842 meV/atom
Size of the total moment   1.0 μB per formula unit
Crystal system   orthorhombic
Final energy   -8.300 eV/atom
Symmetry   Cmc2_1

```
Pr2UAsN5
1.0
-1.501 -2.840 -1.581
0.434 -1.943 7.132
-9.555 4.103 1.699
N U Pr As
10 2 4 2
Cartesian
-0.297 -2.287 4.389
-2.402 -2.185 2.151
-9.332 1.023 2.966
-6.479 0.757 4.789
-3.896 -0.584 4.747
-0.184 -0.166 0.472
-7.768 -0.114 7.578
-3.433 -0.317 -0.225
-5.705 -0.377 2.039
-5.984 -2.427 5.986
-0.390 -1.239 2.596
-5.980 -1.266 3.897
-2.719 -3.302 4.457
-6.569 2.049 2.555
-3.212 0.449 2.243
-8.888 -0.494 5.270
-4.478 -1.275 6.541
-9.744 2.141 1.349
```